# BeBF3 | the Alexandria database | PBEsol | relaxed
data_BeBF3
_cell_length_a 3.6585
_cell_length_b 3.6585
_cell_length_c 3.6585
_cell_angle_alpha 90.00
_cell_angle_beta 90.00
_cell_angle_gamma 90.00
_space_group_name_H-M_alt 'P m -3 m'
_space_group_IT_number 221
_space_group_name_Hall '-P 4 2 3'
loop_
_atom_site_label
_atom_site_type_symbol
_atom_site_fract_x
_atom_site_fract_y
_atom_site_fract_z
_atom_site_occupancy
Be1 Be 0.0000 0.0000 0.0000 1
B1 B 0.5000 0.5000 0.5000 1
F1 F 0.0000 0.5000 0.5000 1
# V ... 9.79 Å³/atom
# Size of the total moment ... 0.85 μB/f.u.
# Calculated total energy ... -3.80 eV per atom

***

# BeB2F | the Alexandria database | PBEsol | relaxed
data_BeB2F
_cell_length_a 5.1981
_cell_length_b 5.1981
_cell_length_c 5.1981
_cell_angle_alpha 90.00
_cell_angle_beta 90.00
_cell_angle_gamma 90.00
_space_group_name_H-M_alt 'F m -3 m'
_space_group_IT_number 225
_space_group_name_Hall '-F 4 2 3'
loop_
_atom_site_label
_atom_site_type_symbol
_atom_site_fract_x
_atom_site_fract_y
_atom_site_fract_z
_atom_site_occupancy
Be1 Be 0.0000 0.0000 0.0000 1
B1 B 0.2500 0.2500 0.2500 1
F1 F 0.0000 0.0000 0.5000 1
# V ... 8.78 Å³/atom
# Size of the total moment ... 0.00 μB/f.u.
# Calculated total energy ... -3.62 eV per atom

***

# KBeBF2 | the Alexandria database | PBEsol | relaxed
data_KBeBF2
_cell_length_a 3.5070
_cell_length_b 3.5070
_cell_length_c 8.5144
_cell_angle_alpha 90.00
_cell_angle_beta 90.00
_cell_angle_gamma 90.00
_space_group_name_H-M_alt 'P 4/m m m'
_space_group_IT_number 123
_space_group_name_Hall '-P 4 2'
loop_
_atom_site_label
_atom_site_type_symbol
_atom_site_fract_x
_atom_site_fract_y
_atom_site_fract_z
_atom_site_occupancy
K1 K 0.0000 0.0000 0.0000 1
Be1 Be 0.0000 0.0000 0.5000 1
B1 B 0.5000 0.5000 0.0000 1
F1 F 0.0000 0.5000 0.5000 1
# V ... 20.94 Å³/atom
# Size of the total moment ... 1.34 μB/f.u.
# Calculated total energy ... -3.59 eV per atom

***

# KBe2BO3F2 | the Alexandria database | PBEsol | relaxed
data_KBe2BO3F2
_cell_length_a 4.4282
_cell_length_b 4.4282
_cell_length_c 37.5601
_cell_angle_alpha 90.00
_cell_angle_beta 90.00
_cell_angle_gamma 120.00
_space_group_name_H-M_alt 'R -3 c'
_space_group_IT_number 167
_space_group_name_Hall '-R 3 2"c'
loop_
_atom_site_label
_atom_site_type_symbol
_atom_site_fract_x
_atom_site_fract_y
_atom_site_fract_z
_atom_site_occupancy
K1 K 0.0000 0.0000 0.0000 1
Be1 Be 0.0000 0.0000 0.0988 1
B1 B 0.0000 0.0000 0.2500 1
O1 O 0.0000 0.3104 0.2500 1
F1 F 0.0000 0.0000 0.1396 1
# V ... 11.81 Å³/atom
# Size of the total moment ... 0.00 μB/f.u.
# Calculated total energy ... -6.82 eV per atom

***

Copy entry 4 word for word.
# KBe2BO3F2 | the Alexandria database | PBEsol | relaxed
data_KBe2BO3F2
_cell_length_a 4.4282
_cell_length_b 4.4282
_cell_length_c 37.5601
_cell_angle_alpha 90.00
_cell_angle_beta 90.00
_cell_angle_gamma 120.00
_space_group_name_H-M_alt 'R -3 c'
_space_group_IT_number 167
_space_group_name_Hall '-R 3 2"c'
loop_
_atom_site_label
_atom_site_type_symbol
_atom_site_fract_x
_atom_site_fract_y
_atom_site_fract_z
_atom_site_occupancy
K1 K 0.0000 0.0000 0.0000 1
Be1 Be 0.0000 0.0000 0.0988 1
B1 B 0.0000 0.0000 0.2500 1
O1 O 0.0000 0.3104 0.2500 1
F1 F 0.0000 0.0000 0.1396 1
# V ... 11.81 Å³/atom
# Size of the total moment ... 0.00 μB/f.u.
# Calculated total energy ... -6.82 eV per atom